No. 1
Below is crystalline Pa2TcNi3Ge4 at its relaxed geometry, with properties calculated at the PBE level.

Results
Mass density   10.31 g/cm³
VASP energy   -70.637 eV/cell
Volume   165.33 Å³/cell

abc: 4.137 4.137 9.661
angles: 90.00 90.00 90.00
Space group P-4m2 (No. 115)
Asymmetric unit:
Pa  0.000  0.500  0.248 [2 per cell]
Tc  0.500  0.500  0.000 [1 per cell]
Ni  0.000  0.000  0.000 [1 per cell]
Ni  0.000  0.500  0.620 [2 per cell]
Ge  0.000  0.000  0.500 [1 per cell]
Ge  0.000  0.500  0.860 [2 per cell]
Ge  0.500  0.500  0.500 [1 per cell]

=====

No. 2
Below is crystalline Pa3Tc2NiGe3 at its relaxed geometry, with properties calculated at the PBE level.

Results
Mass density   11.48 g/cm³
VASP energy   -73.552 eV/cell
Volume   168.67 Å³/cell

abc: 7.1164 7.1164 3.8458
angles: 90.00 90.00 120.00
Space group P-62m (No. 189)
Asymmetric unit:
Pa  0.0000  0.5910  0.0000 [3 per cell]
Tc  0.3333  0.6667  0.5000 [2 per cell]
Ni  0.0000  0.0000  0.0000 [1 per cell]
Ge  0.0000  0.2445  0.5000 [3 per cell]

=====

No. 3
Below is crystalline PaTc2NiGe2 at its relaxed geometry, with properties calculated at the PBE level.

Results
Mass density   9.85 g/cm³
VASP energy   -44.677 eV/cell
Volume   106.40 Å³/cell

abc: 4.526 4.526 5.194
angles: 90.00 90.00 90.00
Space group P4/mmm (No. 123)
Asymmetric unit:
Pa  0.000  0.000  0.000 [1 per cell]
Tc  0.500  0.500  0.224 [2 per cell]
Ni  0.000  0.000  0.500 [1 per cell]
Ge  0.000  0.500  0.500 [2 per cell]

=====

No. 4
Below is crystalline Pa2TcNi4Ge3 at its relaxed geometry, with properties calculated at the PBE level.

Results
Mass density   10.54 g/cm³
VASP energy   -70.928 eV/cell
Volume   159.58 Å³/cell

abc: 3.881 3.881 10.597
angles: 90.00 90.00 90.00
Space group P-4m2 (No. 115)
Asymmetric unit:
Pa  0.000  0.500  0.241 [2 per cell]
Tc  0.500  0.500  0.000 [1 per cell]
Ni  0.000  0.000  0.500 [1 per cell]
Ni  0.000  0.500  0.844 [2 per cell]
Ni  0.500  0.500  0.500 [1 per cell]
Ge  0.000  0.000  0.000 [1 per cell]
Ge  0.000  0.500  0.624 [2 per cell]

=====

No. 5
Below is crystalline ThPa2Ni2Ge2 at its relaxed geometry, with properties calculated at the PBE level.

Results
Mass density   11.57 g/cm³
VASP energy   -152.107 eV/cell
Volume   412.08 Å³/cell

abc: 4.1497 4.1497 27.6329
angles: 90.00 90.00 120.00
Space group R-3m (No. 166, hexagonal axes)
Asymmetric unit:
Th  0.0000  0.0000  0.0000 [3 per cell]
Pa  0.0000  0.0000  0.1382 [6 per cell]
Ni  0.0000  0.0000  0.4104 [6 per cell]
Ge  0.0000  0.0000  0.2621 [6 per cell]

=====

No. 6
Below is crystalline Th2PaNi4Ge3 at its relaxed geometry, with properties calculated at the PBE level.

Results
Mass density   10.46 g/cm³
VASP energy   -67.546 eV/cell
Volume   182.27 Å³/cell

abc: 4.258 4.258 10.052
angles: 90.00 90.00 90.00
Space group P-4m2 (No. 115)
Asymmetric unit:
Th  0.000  0.500  0.223 [2 per cell]
Pa  0.000  0.000  0.500 [1 per cell]
Ni  0.000  0.000  0.000 [1 per cell]
Ni  0.000  0.500  0.647 [2 per cell]
Ni  0.500  0.500  0.000 [1 per cell]
Ge  0.000  0.500  0.881 [2 per cell]
Ge  0.500  0.500  0.500 [1 per cell]

=====

No. 7
Below is crystalline PaTiNi2Ge2 at its relaxed geometry, with properties calculated at the PBE level.

Results
Mass density   9.24 g/cm³
VASP energy   -41.990 eV/cell
Volume   97.29 Å³/cell

abc: 4.1135 4.1135 6.6393
angles: 90.00 90.00 120.00
Space group P-3m1 (No. 164)
Asymmetric unit:
Pa  0.0000  0.0000  0.0000 [1 per cell]
Ti  0.0000  0.0000  0.5000 [1 per cell]
Ni  0.3333  0.6667  0.6723 [2 per cell]
Ge  0.3333  0.6667  0.2736 [2 per cell]

=====

No. 8
Below is crystalline Pa2TiNi4Ge3 at its relaxed geometry, with properties calculated at the PBE level.

Results
Mass density   9.89 g/cm³
VASP energy   -69.736 eV/cell
Volume   161.62 Å³/cell

abc: 4.066 4.066 9.775
angles: 90.00 90.00 90.00
Space group P-4m2 (No. 115)
Asymmetric unit:
Pa  0.000  0.500  0.239 [2 per cell]
Ti  0.000  0.000  0.500 [1 per cell]
Ni  0.000  0.000  0.000 [1 per cell]
Ni  0.000  0.500  0.636 [2 per cell]
Ni  0.500  0.500  0.000 [1 per cell]
Ge  0.000  0.500  0.873 [2 per cell]
Ge  0.500  0.500  0.500 [1 per cell]